The following is a DFT calculation (PBE-GGA) of a relaxed NdAgSe2O8 crystal.

* space group: No. 164
* spin magnetization: 0.000 μB/atom
* ρ: 4.3 g/cm3
* V: 206.2 Å³ per cell
* D(E_F): 0.00 states/eV/f.u.
* E_tot: -68.4 eV per cell

a b c (Å): 5.8124 5.8124 7.0465
angles (deg): 90.00 90.00 120.00
Atoms (fractional coordinates):
Nd1 0.0000 0.0000 0.5000
Ag1 0.0000 0.0000 0.0000
Se1 0.6667 0.3333 0.1972
Se2 0.3333 0.6667 0.8028
O1 0.3333 0.6667 0.0342
O2 0.3552 0.1777 0.2853
O3 0.8223 0.1775 0.2853
O4 0.6667 0.3333 0.9658
O5 0.1777 0.8225 0.7147
O6 0.6448 0.8223 0.7147
O7 0.1775 0.3552 0.7147
O8 0.8225 0.6448 0.2853